Density functional theory data (PBE) for Hf2ZrSnN after structural relaxation.

**VASP energy**: -8.958 eV per atom
**Energy relative to the elements, uncorrected**: -0.801 eV per atom
**DOS at the Fermi energy**: 3.682 states/eV per cell

a b c (Å): 4.352 4.352 4.833
angles (deg): 90.00 90.00 90.00
Atoms (fractional coordinates):
Sn 0.500 0.500 0.500
Hf 0.000 0.500 0.000
N 0.000 0.000 0.000
Zr 0.000 0.000 0.500
Hf 0.500 0.000 0.000